## Er5Co2Pb (PBE-GGA)

Data for crystalline Er5Co2Pb at its relaxed geometry.

The formation energy comes out at -2.42 eV/f.u. The uncorrected energy comes out at -86.3 eV for the cell shown. The space-group type is I4/mcm, No. 140.

Lattice parameters (Å, degrees): 7.5281 7.5281 8.6512 115.79 115.79 90.00
Closest atoms and distances in Å follow each position.
Positions (direct):
Er1 0.2106 0.0312 0.7419  3 Co 2.81-2.84
Er2 0.2894 0.7894 0.2581  3 Co 2.81-2.84
Er3 0.7106 0.2106 0.7419  3 Co 2.81-2.84
Er4 0.7894 0.9688 0.2581  3 Co 2.81-2.84
Er5 0.0312 0.5312 0.7419  3 Co 2.81-2.84
Co1 0.3660 0.8660 0.0000  8 Er 2.81-2.93, 1 Co 2.85
Er6 0.5000 0.5000 0.0000  4 Co 2.93
Pb1 0.7500 0.7500 0.5000  10 Er 3.27-3.41
Er7 0.5312 0.7106 0.7419  3 Co 2.81-2.84
Er8 0.4688 0.2894 0.2581  3 Co 2.81-2.84
Er9 0.9688 0.4688 0.2581  3 Co 2.81-2.84
Pb2 0.2500 0.2500 0.5000  10 Er 3.27-3.41
Co2 0.8660 0.6340 0.0000  8 Er 2.81-2.93, 1 Co 2.85
Co3 0.6340 0.1340 0.0000  8 Er 2.81-2.93, 1 Co 2.85
Er10 0.0000 0.0000 0.0000  4 Co 2.93
Co4 0.1340 0.3660 0.0000  8 Er 2.81-2.93, 1 Co 2.85

=====

## Al4SiAs (PBE-GGA)

Data for crystalline Al4SiAs at its relaxed geometry.

The uncorrected energy comes out at -23.0 eV for the cell shown. The space-group type is F-43m, No. 216.

Lattice parameters (Å, degrees): 5.3081 5.3081 5.3081 60.00 60.00 60.00
Closest atoms and distances in Å follow each position.
Positions (direct):
Al1 0.8759 0.3747 0.3747  6 Al 2.65-2.66
As1 0.7500 0.7500 0.7500  12 Al 3.11, 4 Si 3.25
Al2 0.3747 0.3747 0.3747  6 Al 2.65-2.66
Si1 0.0000 0.0000 0.0000  12 Al 3.11, 4 As 3.25
Al3 0.3747 0.3747 0.8759  6 Al 2.65-2.66
Al4 0.3747 0.8759 0.3747  6 Al 2.65-2.66

=====

## CrCu2BPt (PBE-GGA)

Data for crystalline CrCu2BPt at its relaxed geometry.

The formation energy comes out at 4.23 eV/f.u. The uncorrected energy comes out at -26.3 eV for the cell shown. The space-group type is P4/mmm, No. 123.

Lattice parameters (Å, degrees): 4.7622 3.9296 4.7622 90.00 90.00 90.00
Closest atoms and distances in Å follow each position.
Positions (direct):
Cr1 0.5000 0.5000 0.5000  8 Cu 3.09, 4 B 3.37
Cu1 0.0000 0.0000 0.5000  2 Pt 2.38
B1 0.0000 0.5000 0.0000  2 Pt 1.96
Pt1 0.0000 0.0000 0.0000  2 B 1.96
Cu2 0.5000 0.0000 0.0000  2 Pt 2.38